Entry 1:
A plane-wave DFT calculation with GGA-PBEsol was carried out for a relaxed structure of Sc2ZnP.

a = 4.383 Å, b = 4.383 Å, c = 3.518 Å
α = 90.00°, β = 90.00°, γ = 90.00°
Sites, in units of the cell vectors:
Sc 0.000 0.500 0.000
Sc 0.500 0.000 0.000
Zn 0.000 0.000 0.500
P 0.500 0.500 0.500

Calculated values
DOS(E_F) ... 2.690 states/eV/cell
Crystal system ... tetragonal
Symmetry ... P4/mmm
Formation energy from the elements ... -0.700 eV/atom

Entry 2:
A plane-wave DFT calculation with GGA-PBEsol was carried out for a relaxed structure of Li2TlP.

a = 3.150 Å, b = 3.150 Å, c = 6.948 Å
α = 90.00°, β = 90.00°, γ = 90.00°
Sites, in units of the cell vectors:
Li 0.000 0.000 0.192
Li 0.000 0.000 0.808
Tl 0.500 0.500 0.500
P 0.500 0.500 0.000

Calculated values
DOS(E_F) ... 1.579 states/eV/cell
Crystal system ... tetragonal
Symmetry ... P4/mmm
Formation energy from the elements ... -0.280 eV/atom

Entry 3:
A plane-wave DFT calculation with GGA-PBEsol was carried out for a relaxed structure of Mn2CdSi.

a = 5.511 Å, b = 7.226 Å, c = 2.735 Å
α = 90.00°, β = 90.00°, γ = 90.00°
Sites, in units of the cell vectors:
Mn 0.250 0.250 0.000
Mn 0.250 0.750 0.000
Mn 0.750 0.250 0.000
Mn 0.750 0.750 0.000
Cd 0.000 0.000 0.500
Cd 0.500 0.500 0.500
Si 0.000 0.500 0.500
Si 0.500 0.000 0.500

Calculated values
DOS(E_F) ... 5.130 states/eV/cell
Crystal system ... orthorhombic
Symmetry ... Cmmm
Formation energy without anion corrections ... 4.64 kcal/mol of atoms

Entry 4:
A plane-wave DFT calculation with GGA-PBEsol was carried out for a relaxed structure of BaLiS2O.

a = 4.871 Å, b = 4.871 Å, c = 3.906 Å
α = 90.00°, β = 90.00°, γ = 90.00°
Sites, in units of the cell vectors:
Ba 0.000 0.000 0.000
Li 0.500 0.500 0.000
S 0.000 0.500 0.500
S 0.500 0.000 0.500
O 0.500 0.500 0.500

Calculated values
DOS(E_F) ... 1.504 states/eV/cell
Crystal system ... tetragonal
Symmetry ... P4/mmm
Formation energy without anion corrections ... -23.04 kcal/mol of atoms

Ordered V results: 16.89 17.23 13.62 18.53; unit Å³/atom.
Ordered magnetic moment results: 0.00 0.00 9.94 0.00; unit μB per cell.
Ordered electronic total energy results: -23.4 -13.5 -25.7 -23.1; unit eV/f.u..